Entry 1:
Below is a geometry-optimized Nd2EuAl structure, with properties calculated at the PBE level.

abc: 4.802 4.995 4.995
angles: 90.00 90.00 90.00
Each line ends with the local moment (μB).
Atoms (fractional coordinates):
Nd1 0.000 0.500 0.000  0.04
Nd2 0.000 0.000 0.500  0.04
Al1 0.500 0.000 0.000  -0.02
Eu1 0.500 0.500 0.500  6.85

Summary:
DOS at the Fermi energy ... 4.56 states/eV/cell
Symmetry ... No. 123
Energy relative to the lowest polymorph listed for this composition ... 19 meV/atom
Magnetization ... 7.19 Bohr magnetons per cell
Density ... 6.48 g/cm³

---

Entry 2:
Below is a geometry-optimized CaPm2Ir2 structure, with properties calculated at the PBE level.

abc: 3.879 7.928 7.928
angles: 90.00 90.00 90.00
Atoms (fractional coordinates):
Ca1 0.000 0.000 0.000
Ca2 0.000 0.500 0.500
Ir1 0.000 0.863 0.637
Ir2 0.000 0.363 0.863
Ir3 0.000 0.637 0.137
Ir4 0.000 0.137 0.363
Pm1 0.500 0.157 0.657
Pm2 0.500 0.843 0.343
Pm3 0.500 0.657 0.843
Pm4 0.500 0.343 0.157

Summary:
DOS at the Fermi energy ... 5.34 states/eV/cell
Symmetry ... No. 127
Energy relative to the lowest polymorph listed for this composition ... 0 meV/atom
Magnetization ... 0.00 Bohr magnetons per cell
Density ... 9.73 g/cm³

---

Entry 3:
Below is a geometry-optimized SrTaNi2 structure, with properties calculated at the PBE level.

abc: 4.777 4.777 4.777
angles: 126.32 114.33 89.75
Atoms (fractional coordinates):
Sr1 0.750 0.250 0.500
Ni1 0.454 0.454 0.000
Ni2 0.046 0.046 0.000
Ta1 0.250 0.750 0.500

Summary:
DOS at the Fermi energy ... 4.12 states/eV/cell
Symmetry ... No. 71
Energy relative to the lowest polymorph listed for this composition ... 497 meV/atom
Magnetization ... 0.00 Bohr magnetons per cell
Density ... 8.47 g/cm³

---

Entry 4:
Below is a geometry-optimized Tc3PdO structure, with properties calculated at the PBE level.

abc: 4.921 4.921 4.921
angles: 90.00 90.00 90.00
Each line ends with the local moment (μB).
Atoms (fractional coordinates):
O1 0.500 0.500 0.500  0.79
Tc1 0.500 0.000 0.000  2.83
Tc2 0.000 0.500 0.000  3.00
Tc3 0.000 0.000 0.500  3.26
Pd1 0.000 0.000 0.000  0.45

Summary:
DOS at the Fermi energy ... 3.43 states/eV/cell
Symmetry ... No. 221
Uncorrected formation energy ... 2.540 eV/atom
Energy relative to the lowest polymorph listed for this composition ... 2508 meV/atom
Magnetization ... 11.51 Bohr magnetons per cell
Density ... 5.80 g/cm³

---

Entry 5:
Below is a geometry-optimized CrAs2Se structure, with properties calculated at the PBE level.

abc: 3.050 2.911 8.378
angles: 90.44 90.00 90.00
Each line ends with the local moment (μB).
Atoms (fractional coordinates):
As1 0.000 0.746 0.076  -0.04
As2 0.000 0.754 0.424  -0.04
Se1 0.500 0.750 0.750  -0.01
Cr1 0.500 0.250 0.250  1.13

Summary:
DOS at the Fermi energy ... 2.59 states/eV/cell
Symmetry ... No. 10
Uncorrected formation energy ... 0.135 eV/atom
Magnetization ... 1.08 Bohr magnetons per cell
Density ... 6.27 g/cm³

---

Entry 6:
Below is a geometry-optimized Y2Co5Ni5 structure, with properties calculated at the PBE level.

abc: 3.999 4.827 8.556
angles: 90.00 90.00 90.00
Each line ends with the local moment (μB).
Atoms (fractional coordinates):
Co1 0.500 0.248 0.746  1.54
Co2 0.500 0.752 0.254  1.54
Co3 0.500 0.248 0.254  1.54
Co4 0.500 0.500 0.500  1.50
Co5 0.500 0.752 0.746  1.54
Y1 0.000 0.500 0.000  -0.17
Y2 0.000 0.000 0.500  -0.19
Ni1 0.000 0.500 0.331  0.42
Ni2 0.000 0.000 0.832  0.41
Ni3 0.000 0.000 0.168  0.41
Ni4 0.500 0.000 0.000  0.47
Ni5 0.000 0.500 0.669  0.42

Summary:
DOS at the Fermi energy ... 15.93 states/eV/cell
Symmetry ... No. 47
Energy relative to the lowest polymorph listed for this composition ... 0 meV/atom
Magnetization ... 8.86 Bohr magnetons per cell
Density ... 7.70 g/cm³

---

Entry 7:
Below is a geometry-optimized Th4AlTc structure, with properties calculated at the PBE level.

abc: 6.064 7.334 7.334
angles: 90.00 90.00 90.00
Atoms (fractional coordinates):
Al1 0.750 0.000 0.000
Al2 0.250 0.000 0.000
Th1 0.500 0.176 0.352
Th2 0.500 0.352 0.824
Th3 0.500 0.824 0.648
Th4 0.000 0.648 0.824
Th5 0.500 0.648 0.176
Th6 0.000 0.824 0.352
Th7 0.000 0.176 0.648
Th8 0.000 0.352 0.176
Tc1 0.750 0.500 0.500
Tc2 0.250 0.500 0.500

Summary:
DOS at the Fermi energy ... 17.22 states/eV/cell
Symmetry ... No. 124
Energy relative to the lowest polymorph listed for this composition ... 0 meV/atom
Magnetization ... 0.00 Bohr magnetons per cell
Density ... 10.72 g/cm³

---

Entry 8:
Below is a geometry-optimized ReRhBr2 structure, with properties calculated at the PBE level.

abc: 3.053 3.053 8.746
angles: 90.00 90.00 90.00
Atoms (fractional coordinates):
Re1 0.000 0.000 0.535
Br1 0.500 0.500 0.329
Br2 0.000 0.000 0.928
Rh1 0.500 0.500 0.708

Summary:
DOS at the Fermi energy ... 1.40 states/eV/cell
Symmetry ... No. 99
Uncorrected formation energy ... 0.372 eV/atom
Energy relative to the lowest polymorph listed for this composition ... 114 meV/atom
Magnetization ... 0.00 Bohr magnetons per cell
Density ... 9.15 g/cm³

---

Entry 9:
Below is a geometry-optimized VBiPd2I structure, with properties calculated at the PBE level.

abc: 4.912 5.007 4.912
angles: 90.00 90.00 90.00
Each line ends with the local moment (μB).
Atoms (fractional coordinates):
I1 0.000 0.500 0.000  -0.04
Pd1 0.500 0.000 0.000  0.07
Pd2 0.000 0.000 0.500  0.00
Bi1 0.500 0.500 0.500  -0.06
V1 0.000 0.000 0.000  1.43

Summary:
DOS at the Fermi energy ... 4.93 states/eV/cell
Symmetry ... No. 123
Uncorrected formation energy ... 0.651 eV/atom
Magnetization ... 1.56 Bohr magnetons per cell
Density ... 8.24 g/cm³

---

Entry 10:
Below is a geometry-optimized TlSi3O structure, with properties calculated at the PBE level.

abc: 4.420 4.420 4.420
angles: 90.00 90.00 90.00
Atoms (fractional coordinates):
O1 0.000 0.000 0.000
Si1 0.000 0.000 0.500
Si2 0.500 0.000 0.000
Si3 0.000 0.500 0.000
Tl1 0.500 0.500 0.500

Summary:
DOS at the Fermi energy ... 1.95 states/eV/cell
Symmetry ... No. 221
Uncorrected formation energy ... 0.341 eV/atom
Energy relative to the lowest polymorph listed for this composition ... 0 meV/atom
Magnetization ... 0.00 Bohr magnetons per cell
Density ... 5.86 g/cm³

---

Entry 11:
Below is a geometry-optimized Ta2ZnSe structure, with properties calculated at the PBE level.

abc: 8.711 8.711 8.711
angles: 20.32 20.32 20.32
Atoms (fractional coordinates):
Ta1 0.004 0.004 0.004
Ta2 0.496 0.496 0.496
Se1 0.750 0.750 0.750
Zn1 0.250 0.250 0.250

Summary:
DOS at the Fermi energy ... 3.11 states/eV/cell
Symmetry ... No. 166
Uncorrected formation energy ... 0.082 eV/atom
Energy relative to the lowest polymorph listed for this composition ... 113 meV/atom
Magnetization ... 0.00 Bohr magnetons per cell
Density ... 12.06 g/cm³

---

Entry 12:
Below is a geometry-optimized BeAlSe structure, with properties calculated at the PBE level.

abc: 3.490 3.490 4.853
angles: 90.00 90.00 120.00
Atoms (fractional coordinates):
Be1 0.667 0.333 0.376
Al1 0.000 0.000 0.030
Se1 0.333 0.667 0.595

Summary:
DOS at the Fermi energy ... 0.65 states/eV/cell
Symmetry ... No. 156
Uncorrected formation energy ... -0.052 eV/atom
Energy relative to the lowest polymorph listed for this composition ... 145 meV/atom
Magnetization ... 0.00 Bohr magnetons per cell
Density ... 3.73 g/cm³